# 1
Below is a geometry-optimized Ho3Er4Se8 structure, with properties calculated at the GGA-PBE level.

Lattice parameters (Å, degrees): 8.0631 8.0631 8.0614 119.99 119.99 90.01
Sites, in units of the cell vectors:
1 Ho 0.0000 0.0000 0.0000
2 Ho 0.0000 0.5000 0.0000
3 Ho 0.5000 0.0000 0.0000
4 Er 0.0000 0.5000 0.5000
5 Er 0.5000 0.0000 0.5000
6 Er 0.5000 0.5000 0.0000
7 Er 0.5000 0.5000 0.5000
8 Se 0.2474 0.2474 0.5011
9 Se 0.2470 0.7530 0.5000
10 Se 0.2476 0.2476 0.9940
11 Se 0.2506 0.7494 0.0000
12 Se 0.7494 0.2506 0.0000
13 Se 0.7524 0.7524 0.0060
14 Se 0.7530 0.2470 0.5000
15 Se 0.7526 0.7526 0.4989

Results
Raw total energy in eV/cell: -86.9
Space-group type: C2/m, No. 12

# 2
Below is a geometry-optimized Ho3Er5Se8 structure, with properties calculated at the GGA-PBE level.

Lattice parameters (Å, degrees): 8.0887 8.0887 8.0887 60.00 60.00 60.00
Sites, in units of the cell vectors:
1 Ho 0.0000 0.5000 0.5000
2 Ho 0.5000 0.0000 0.5000
3 Ho 0.5000 0.5000 0.0000
4 Er 0.0000 0.0000 0.0000
5 Er 0.0000 0.0000 0.5000
6 Er 0.0000 0.5000 0.0000
7 Er 0.5000 0.0000 0.0000
8 Er 0.5000 0.5000 0.5000
9 Se 0.2494 0.2494 0.2494
10 Se 0.2487 0.7500 0.7500
11 Se 0.2500 0.2500 0.7513
12 Se 0.2500 0.7513 0.2500
13 Se 0.7500 0.2487 0.7500
14 Se 0.7500 0.7500 0.2487
15 Se 0.7513 0.2500 0.2500
16 Se 0.7506 0.7506 0.7506

Results
Raw total energy in eV/cell: -91.6
Space-group type: R-3m, No. 166

# 3
Below is a geometry-optimized Ho2Er3Se8 structure, with properties calculated at the GGA-PBE level.

Lattice parameters (Å, degrees): 8.1838 8.1838 6.9337 106.77 106.77 59.61
Sites, in units of the cell vectors:
1 Ho 0.2426 0.2426 0.1631
2 Ho 0.7574 0.7574 0.8369
3 Er 0.2390 0.7610 0.5000
4 Er 0.5000 0.5000 0.0000
5 Er 0.7610 0.2390 0.5000
6 Se 0.1194 0.1194 0.4081
7 Se 0.1374 0.6168 0.0864
8 Se 0.3818 0.3818 0.5773
9 Se 0.3832 0.8626 0.9136
10 Se 0.6168 0.1374 0.0864
11 Se 0.6182 0.6182 0.4227
12 Se 0.8626 0.3832 0.9136
13 Se 0.8806 0.8806 0.5919

Results
Raw total energy in eV/cell: -72.9
Space-group type: C2/m, No. 12

# 4
Below is a geometry-optimized HoErSe2 structure, with properties calculated at the GGA-PBE level.

Lattice parameters (Å, degrees): 6.7362 7.2845 3.8843 90.00 90.00 90.00
Sites, in units of the cell vectors:
1 Ho 0.0000 0.0000 0.0000
2 Ho 0.5000 0.5000 0.5000
3 Er 0.0000 0.5000 0.0000
4 Er 0.5000 0.0000 0.5000
5 Se 0.1668 0.2506 0.5000
6 Se 0.3332 0.7506 0.0000
7 Se 0.6668 0.2494 0.0000
8 Se 0.8332 0.7494 0.5000

Results
Raw total energy in eV/cell: -45.5
Space-group type: Pnnm, No. 58
E above lowest polymorph in kJ/mol of atoms: 4.66

# 5
Below is a geometry-optimized HoEr4Se7 structure, with properties calculated at the GGA-PBE level.

Lattice parameters (Å, degrees): 6.9260 6.9260 12.1214 103.72 103.72 33.02
Sites, in units of the cell vectors:
1 Ho 0.0000 0.0000 0.0000
2 Er 0.1131 0.1131 0.4223
3 Er 0.2258 0.2258 0.8439
4 Er 0.4126 0.4126 0.6088
5 Er 0.8135 0.8135 0.2354
6 Se 0.0729 0.0729 0.6374
7 Se 0.1533 0.1533 0.2072
8 Se 0.3703 0.3703 0.0701
9 Se 0.4536 0.4536 0.3720
10 Se 0.6131 0.6131 0.9213
11 Se 0.7727 0.7727 0.4722
12 Se 0.8544 0.8544 0.7736

Results
Raw total energy in eV/cell: -69.3
Space-group type: Cm, No. 8

# 6
Below is a geometry-optimized Ho3Er2Se6 structure, with properties calculated at the GGA-PBE level.

Lattice parameters (Å, degrees): 6.9717 6.9717 6.9684 99.65 99.65 119.76
Sites, in units of the cell vectors:
1 Ho 0.0000 0.0000 0.0000
2 Ho 0.3347 0.6653 0.0000
3 Ho 0.6653 0.3347 0.0000
4 Er 0.1650 0.8350 0.5000
5 Er 0.8350 0.1650 0.5000
6 Se 0.0892 0.4183 0.2542
7 Se 0.2538 0.2538 0.7428
8 Se 0.4183 0.0892 0.2542
9 Se 0.5817 0.9108 0.7458
10 Se 0.7462 0.7462 0.2572
11 Se 0.9108 0.5817 0.7458

Results
Raw total energy in eV/cell: -64.0
Space-group type: C2/m, No. 12
E above lowest polymorph in kJ/mol of atoms: 0.00

# 7
Below is a geometry-optimized HoErSe3 structure, with properties calculated at the GGA-PBE level.

Lattice parameters (Å, degrees): 7.6635 7.6635 7.6635 55.61 55.61 55.61
Sites, in units of the cell vectors:
1 Ho 0.1522 0.1522 0.1522
2 Ho 0.8478 0.8478 0.8478
3 Er 0.3471 0.3471 0.3471
4 Er 0.6529 0.6529 0.6529
5 Se 0.0563 0.4447 0.7485
6 Se 0.2515 0.9437 0.5553
7 Se 0.4447 0.7485 0.0563
8 Se 0.5553 0.2515 0.9437
9 Se 0.7485 0.0563 0.4447
10 Se 0.9437 0.5553 0.2515

Results
Raw total energy in eV/cell: -57.7
Space-group type: R-3, No. 148
E above lowest polymorph in kJ/mol of atoms: 0.00

# 8
Below is a geometry-optimized Ho3Er2Se6 structure, with properties calculated at the GGA-PBE level.

Lattice parameters (Å, degrees): 20.2370 20.2370 20.2370 11.57 11.57 11.57
Sites, in units of the cell vectors:
1 Ho 0.0000 0.0000 0.0000
2 Ho 0.2798 0.2798 0.2798
3 Ho 0.7202 0.7202 0.7202
4 Er 0.4461 0.4461 0.4461
5 Er 0.5539 0.5539 0.5539
6 Se 0.0821 0.0821 0.0821
7 Se 0.1975 0.1975 0.1975
8 Se 0.3605 0.3605 0.3605
9 Se 0.6395 0.6395 0.6395
10 Se 0.8025 0.8025 0.8025
11 Se 0.9179 0.9179 0.9179

Results
Raw total energy in eV/cell: -63.1
Space-group type: R-3m, No. 166
E above lowest polymorph in kJ/mol of atoms: 8.11

# 9
Below is a geometry-optimized Ho5Er3Se8 structure, with properties calculated at the GGA-PBE level.

Lattice parameters (Å, degrees): 8.0950 8.0950 8.0950 60.04 60.04 60.04
Sites, in units of the cell vectors:
1 Ho 0.0000 0.0000 0.0000
2 Ho 0.0000 0.5000 0.5000
3 Ho 0.5000 0.0000 0.5000
4 Ho 0.5000 0.5000 0.0000
5 Ho 0.5000 0.5000 0.5000
6 Er 0.0000 0.0000 0.5000
7 Er 0.0000 0.5000 0.0000
8 Er 0.5000 0.0000 0.0000
9 Se 0.2493 0.2493 0.2493
10 Se 0.2487 0.7500 0.7500
11 Se 0.2500 0.2500 0.7513
12 Se 0.2500 0.7513 0.2500
13 Se 0.7500 0.2487 0.7500
14 Se 0.7500 0.7500 0.2487
15 Se 0.7513 0.2500 0.2500
16 Se 0.7507 0.7507 0.7507

Results
Raw total energy in eV/cell: -91.7
Space-group type: R-3m, No. 166

# 10
Below is a geometry-optimized Ho5ErSe6 structure, with properties calculated at the GGA-PBE level.

Lattice parameters (Å, degrees): 7.0352 7.0352 6.9997 99.66 99.66 120.18
Sites, in units of the cell vectors:
1 Ho 0.0000 0.0000 0.0000
2 Ho 0.1670 0.8330 0.5000
3 Ho 0.3324 0.6676 0.0000
4 Ho 0.6676 0.3324 0.0000
5 Ho 0.8330 0.1670 0.5000
6 Er 0.5000 0.5000 0.5000
7 Se 0.0848 0.4168 0.2508
8 Se 0.2511 0.2511 0.7497
9 Se 0.4168 0.0848 0.2508
10 Se 0.5832 0.9152 0.7492
11 Se 0.7489 0.7489 0.2503
12 Se 0.9152 0.5832 0.7492

Results
Raw total energy in eV/cell: -69.0
Space-group type: C2/m, No. 12

# 11
Below is a geometry-optimized Ho3ErSe6 structure, with properties calculated at the GGA-PBE level.

Lattice parameters (Å, degrees): 8.3518 8.3518 8.3518 90.91 90.91 90.91
Sites, in units of the cell vectors:
1 Ho 0.0705 0.5796 0.7455
2 Ho 0.2545 0.9295 0.4204
3 Ho 0.4204 0.2545 0.9295
4 Ho 0.5796 0.7455 0.0705
5 Ho 0.7455 0.0705 0.5796
6 Ho 0.9295 0.4204 0.2545
7 Er 0.0000 0.0000 0.0000
8 Er 0.5000 0.5000 0.5000
9 Se 0.0380 0.9078 0.6806
10 Se 0.0922 0.3194 0.9620
11 Se 0.1849 0.5889 0.4145
12 Se 0.3194 0.9620 0.0922
13 Se 0.4111 0.5855 0.8151
14 Se 0.4145 0.1849 0.5889
15 Se 0.5855 0.8151 0.4111
16 Se 0.5889 0.4145 0.1849
17 Se 0.6806 0.0380 0.9078
18 Se 0.8151 0.4111 0.5855
19 Se 0.9078 0.6806 0.0380
20 Se 0.9620 0.0922 0.3194

Results
Raw total energy in eV/cell: -115.1
Space-group type: R-3, No. 148
E above lowest polymorph in kJ/mol of atoms: 1.11

# 12
Below is a geometry-optimized Ho4ErSe6 structure, with properties calculated at the GGA-PBE level.

Lattice parameters (Å, degrees): 6.9471 6.9471 20.6528 90.00 90.00 146.89
Sites, in units of the cell vectors:
1 Ho 0.0892 0.9108 0.6271
2 Ho 0.0892 0.9108 0.8729
3 Ho 0.3593 0.6407 0.5382
4 Ho 0.3593 0.6407 0.9618
5 Ho 0.6407 0.3593 0.0382
6 Ho 0.6407 0.3593 0.4618
7 Ho 0.9108 0.0892 0.1271
8 Ho 0.9108 0.0892 0.3729
9 Er 0.1523 0.8477 0.2500
10 Er 0.8477 0.1523 0.7500
11 Se 0.0000 0.0000 0.0000
12 Se 0.0000 0.0000 0.5000
13 Se 0.1919 0.8081 0.7500
14 Se 0.2692 0.7308 0.0907
15 Se 0.2692 0.7308 0.4093
16 Se 0.4462 0.5538 0.6668
17 Se 0.4462 0.5538 0.8332
18 Se 0.5538 0.4462 0.1668
19 Se 0.5538 0.4462 0.3332
20 Se 0.7308 0.2692 0.5907
21 Se 0.7308 0.2692 0.9093
22 Se 0.8081 0.1919 0.2500

Results
Raw total energy in eV/cell: -127.0
Space-group type: Cmcm, No. 63

What is the formula in the second record? Ho3Er5Se8

What did the seventh record say?
Below is a geometry-optimized HoErSe3 structure, with properties calculated at the GGA-PBE level.

Lattice parameters (Å, degrees): 7.6635 7.6635 7.6635 55.61 55.61 55.61
Sites, in units of the cell vectors:
1 Ho 0.1522 0.1522 0.1522
2 Ho 0.8478 0.8478 0.8478
3 Er 0.3471 0.3471 0.3471
4 Er 0.6529 0.6529 0.6529
5 Se 0.0563 0.4447 0.7485
6 Se 0.2515 0.9437 0.5553
7 Se 0.4447 0.7485 0.0563
8 Se 0.5553 0.2515 0.9437
9 Se 0.7485 0.0563 0.4447
10 Se 0.9437 0.5553 0.2515

Results
Raw total energy in eV/cell: -57.7
Space-group type: R-3, No. 148
E above lowest polymorph in kJ/mol of atoms: 0.00